Here is a geometry-optimized TmCrN2 structure from Alexandria. Energies are from GGA-PBE.

a b c (Å): 3.210 3.210 5.343
angles (deg): 72.52 72.52 60.00
Each line ends with the local moment (μB).
Element x y z (fractional)
1 N 0.260 0.260 0.219  -0.03
2 N 0.740 0.740 0.781  -0.03
3 Tm 0.500 0.500 0.500  -0.02
4 Cr 0.000 0.000 0.000  2.63

Calculated values
total DFT energy (no corrections): -8.7604 eV per atom
uncorrected formation energy: -1.074 eV/atom
M_tot: 2.758 μB per formula unit